Record 1
This record from the Alexandria database describes a relaxed structure of Sc2TiBPb. The functional is PBE-GGA.

```
5
Lattice="4.644 0.000 0.000 0.000 4.644 0.000 0.000 0.000 4.430" Properties=species:S:1:pos:R:3 pbc="T T T"
Sc 0.000 2.322 0.000
Sc 2.322 0.000 0.000
Ti 0.000 0.000 2.215
B 0.000 0.000 0.000
Pb 2.322 2.322 2.215
```

Formation energy ... -0.434 eV/atom
Size of the total moment ... 0.00 μB per formula unit

=====

Record 2
This record from the Alexandria database describes a relaxed structure of FeIr2Rh4. The functional is PBE-GGA.

```
7
Lattice="2.652 -8.017 0.000 2.652 8.017 0.000 0.000 0.000 2.676" Properties=species:S:1:pos:R:3 pbc="T T T"
Fe 0.000 0.000 0.000
Ir 2.652 2.079 1.338
Ir 2.652 -2.079 1.338
Rh 1.326 4.008 0.000
Rh 2.652 5.951 1.338
Rh 1.326 -4.008 0.000
Rh 2.652 -5.951 1.338
```

Formation energy ... 0.482 eV/atom
Size of the total moment ... 3.75 μB per formula unit

=====

Number 1: DFT total energy -6.6232 eV/atom. Number 2: DFT total energy -7.4595 eV/atom.